First-principles (PBE-GGA) data for a relaxed Be2B crystal, as listed in the Alexandria database.

The structure in CIF format:
```
data_Be2B
_symmetry_space_group_name_H-M 'C 1 m 1'
_symmetry_Int_Tables_number 8
_cell_length_a 6.887
_cell_length_b 3.244
_cell_length_c 4.517
_cell_angle_alpha 90.00
_cell_angle_beta 111.07
_cell_angle_gamma 90.00
loop_
_symmetry_equiv_pos_as_xyz
'x,y,z'
'x,-y,z'
'x+1/2,y+1/2,z'
'x+1/2,-y+1/2,z'
loop_
_atom_site_label
_atom_site_fract_x
_atom_site_fract_y
_atom_site_fract_z
Be1 0.000 0.000 0.000
Be2 0.025 0.000 0.532
Be3 0.224 0.500 0.662
Be4 0.276 0.000 0.386
B1 0.013 0.500 0.262
B2 0.296 0.000 0.914
```

ΔH_f (0 K), meV per atom: 118
Total energy, eV per atom: -4.59
M_tot, μB per atom: 0.0000